{
  "formula": "Sr2ZnPb",
  "functional": "GGA-PBE",
  "state": "optimized geometry",
  "lattice": [[3.9144, 0.0000, 0.0000], [0.0000, 3.9144, 0.0000], [0.0000, 0.0000, 9.2725]],
  "species": ["Sr", "Sr", "Zn", "Pb"],
  "frac_coords": [[0.0000, 0.0000, 0.0000], [0.5000, 0.5000, 0.3753], [0.0000, 0.0000, 0.5814], [0.5000, 0.5000, 0.7522]],
  "space_group": "No. 99"
}


{
  "formula": "Sr3ZnPb3",
  "functional": "GGA-PBE",
  "state": "optimized geometry",
  "lattice": [[6.0671, -2.5318, 0.0000], [6.0671, 2.5318, 0.0000], [-5.6001, 0.0000, 15.2777]],
  "species": ["Sr", "Sr", "Sr", "Sr", "Sr", "Sr", "Zn", "Zn", "Pb", "Pb", "Pb", "Pb", "Pb", "Pb"],
  "frac_coords": [[0.0340, 0.0340, 0.3850], [0.0938, 0.0938, 0.9196], [0.2411, 0.2411, 0.2313], [0.7589, 0.7589, 0.7687], [0.9062, 0.9062, 0.0804], [0.9660, 0.9660, 0.6150], [0.2588, 0.2588, 0.6092], [0.7412, 0.7412, 0.3908], [0.3563, 0.3563, 0.4620], [0.3783, 0.3783, 0.9234], [0.4663, 0.4663, 0.7624], [0.5337, 0.5337, 0.2376], [0.6217, 0.6217, 0.0766], [0.6437, 0.6437, 0.5380]],
  "space_group": "No. 12"
}


{
  "formula": "Sr2ZnPb",
  "functional": "GGA-PBE",
  "state": "optimized geometry",
  "lattice": [[-2.8000, 2.8000, 10.4366], [2.8000, -2.8000, 10.4366], [2.8000, 2.8000, -10.4366]],
  "species": ["Sr", "Sr", "Sr", "Sr", "Zn", "Zn", "Pb", "Pb"],
  "frac_coords": [[0.1156, 0.6250, 0.9906], [0.3750, 0.3656, 0.4906], [0.6344, 0.1250, 0.0094], [0.8750, 0.8844, 0.5094], [0.0000, 0.0000, 0.0000], [0.7500, 0.2500, 0.5000], [0.2500, 0.7500, 0.5000], [0.5000, 0.5000, 0.0000]],
  "space_group": "No. 122"
}


{
  "formula": "Sr7Zn2Pb2",
  "functional": "GGA-PBE",
  "state": "optimized geometry",
  "lattice": [[4.4424, -6.2390, 0.0000], [4.4424, 6.2390, 0.0000], [0.0000, 0.0000, 8.1383]],
  "species": ["Sr", "Sr", "Sr", "Sr", "Sr", "Sr", "Sr", "Zn", "Zn", "Pb", "Pb"],
  "frac_coords": [[0.0000, 0.0000, 0.0000], [0.0000, 0.5000, 0.2661], [0.0000, 0.5000, 0.7339], [0.5000, 0.0000, 0.2661], [0.5000, 0.0000, 0.7339], [0.5000, 0.5000, 0.2431], [0.5000, 0.5000, 0.7569], [0.2887, 0.7113, 0.0000], [0.7113, 0.2887, 0.0000], [0.1788, 0.1788, 0.5000], [0.8212, 0.8212, 0.5000]],
  "space_group": "No. 65"
}


| no. | ΔH_f (0 K) (eV per atom) | M_tot (μB per formula unit) |
| --- | --- | --- |
| 1 | -0.17 | 0.000 |
| 2 | -0.47 | 0.000 |
| 3 | 0.11 | 0.000 |
| 4 | -0.15 | 0.000 |